Record 1
# Li2CeEr2S6 (PBE, relaxed)
# Size of the total moment (Bohr magnetons per cell): 0.0
# Energy relative to the elements, uncorrected (meV per atom): -1799
# SG: No. 12
data_Li2CeEr2S6
_space_group_name_H-M_alt 'P 1'
_space_group_IT_number 1
_cell_length_a 6.8433
_cell_length_b 6.8433
_cell_length_c 6.5223
_cell_angle_alpha 99.94
_cell_angle_beta 99.94
_cell_angle_gamma 120.07
loop_
_space_group_symop_operation_xyz
'x,y,z'
loop_
_atom_site_label
_atom_site_fract_x
_atom_site_fract_y
_atom_site_fract_z
Li1 0.8289 0.1711 0.0000
Li2 0.1711 0.8289 0.0000
Ce1 0.0000 0.0000 0.5000
Er1 0.3349 0.6651 0.5000
Er2 0.6651 0.3349 0.5000
S1 0.7522 0.7522 0.7434
S2 0.0729 0.4143 0.7432
S3 0.2478 0.2478 0.2566
S4 0.4143 0.0729 0.7432
S5 0.9271 0.5857 0.2568
S6 0.5857 0.9271 0.2568

=====

Record 2
# LiCe2ErS5 (PBE, relaxed)
# Size of the total moment (Bohr magnetons per cell): 3.8
# Energy relative to the elements, uncorrected (meV per atom): -1888
# SG: No. 36
data_LiCe2ErS5
_space_group_name_H-M_alt 'P 1'
_space_group_IT_number 1
_cell_length_a 3.9553
_cell_length_b 8.4326
_cell_length_c 11.8918
_cell_angle_alpha 90.00
_cell_angle_beta 90.00
_cell_angle_gamma 103.56
loop_
_space_group_symop_operation_xyz
'x,y,z'
loop_
_atom_site_label
_atom_site_fract_x
_atom_site_fract_y
_atom_site_fract_z
Li1 0.5150 0.0299 0.9788
Li2 0.4850 0.9701 0.4788
Ce1 0.8743 0.7486 0.7986
Ce2 0.1085 0.2170 0.6845
Ce3 0.1257 0.2514 0.2986
Ce4 0.8915 0.7830 0.1845
Er1 0.8018 0.6037 0.5030
Er2 0.1982 0.3963 0.0030
S1 0.3623 0.7247 0.9989
S2 0.6912 0.3825 0.8477
S3 0.4990 0.9980 0.7816
S4 0.2875 0.5750 0.6609
S5 0.9533 0.9066 0.5699
S6 0.6377 0.2753 0.4989
S7 0.3088 0.6175 0.3477
S8 0.5010 0.0020 0.2816
S9 0.7125 0.4250 0.1609
S10 0.0467 0.0934 0.0699